The following is a DFT calculation (PBE) of AsPb2Cl2 after structural relaxation.

Calculated values
Calculated density: 6.61 Mg/m³
E above lowest polymorph: 142.5 meV/atom
DOS(E_F): 0.78 states/eV per atom
Energy relative to the elements, uncorrected: -0.248 eV/atom
Size of the total moment: 0.09 μB/atom

Geometry as CIF:
```
data_AsPb2Cl2
_chemical_formula_sum 'As2 Pb4 Cl4'
_cell_length_a 4.416
_cell_length_b 4.416
_cell_length_c 14.443
_cell_angle_alpha 90.00
_cell_angle_beta 90.00
_cell_angle_gamma 90.00
_space_group_name_H-M_alt 'I 4/m m m'
_space_group_IT_number 139
_space_group_name_Hall '-I 4 2'
loop_
_atom_site_label
_atom_site_fract_x
_atom_site_fract_y
_atom_site_fract_z
As1 0.000 0.000 0.000
Pb1 0.000 0.000 0.384
Cl1 0.000 0.500 0.250
```


The following is a DFT calculation (PBE) of AsPb2Cl after structural relaxation.

Calculated values
Calculated density: 8.37 Mg/m³
E above lowest polymorph: 498.3 meV/atom
DOS(E_F): 0.39 states/eV per atom
Energy relative to the elements, uncorrected: 0.023 eV/atom
Size of the total moment: 0.00 μB/atom

Geometry as CIF:
```
data_AsPb2Cl
_chemical_formula_sum 'As4 Pb8 Cl4'
_cell_length_a 7.467
_cell_length_b 7.467
_cell_length_c 7.467
_cell_angle_alpha 90.00
_cell_angle_beta 90.00
_cell_angle_gamma 90.00
_space_group_name_H-M_alt 'F -4 3 m'
_space_group_IT_number 216
_space_group_name_Hall 'F -4 2 3'
loop_
_atom_site_label
_atom_site_fract_x
_atom_site_fract_y
_atom_site_fract_z
As1 0.000 0.000 0.000
Pb1 0.000 0.000 0.500
Pb2 0.250 0.250 0.250
Cl1 0.250 0.250 0.750
```


The following is a DFT calculation (PBE) of AsPbCl2 after structural relaxation.

Calculated values
Calculated density: 6.04 Mg/m³
E above lowest polymorph: 198.6 meV/atom
DOS(E_F): 0.46 states/eV per atom
Energy relative to the elements, uncorrected: -0.237 eV/atom
Size of the total moment: 0.00 μB/atom

Geometry as CIF:
```
data_AsPbCl2
_chemical_formula_sum 'As1 Pb1 Cl2'
_cell_length_a 3.498
_cell_length_b 4.656
_cell_length_c 5.956
_cell_angle_alpha 90.00
_cell_angle_beta 90.00
_cell_angle_gamma 90.00
_space_group_name_H-M_alt 'P m m m'
_space_group_IT_number 47
loop_
_space_group_symop_operation_xyz
'x,y,z'
'-x,-y,-z'
'-x,-y,z'
'x,y,-z'
'x,-y,-z'
'-x,y,z'
'-x,y,-z'
'x,-y,z'
loop_
_atom_site_label
_atom_site_fract_x
_atom_site_fract_y
_atom_site_fract_z
As1 0.000 0.000 0.000
Pb1 0.500 0.000 0.500
Cl1 0.000 0.500 0.500
Cl2 0.500 0.500 0.000
```


The following is a DFT calculation (PBE) of AsPbCl2 after structural relaxation.

Calculated values
Calculated density: 5.82 Mg/m³
E above lowest polymorph: 418.6 meV/atom
DOS(E_F): 0.61 states/eV per atom
Energy relative to the elements, uncorrected: -0.017 eV/atom
Size of the total moment: 0.62 μB/atom

Geometry as CIF:
```
data_AsPbCl2
_chemical_formula_sum 'As4 Pb4 Cl8'
_cell_length_a 7.385
_cell_length_b 7.385
_cell_length_c 7.385
_cell_angle_alpha 90.00
_cell_angle_beta 90.00
_cell_angle_gamma 90.00
_space_group_name_H-M_alt 'F m -3 m'
_space_group_IT_number 225
_space_group_name_Hall '-F 4 2 3'
loop_
_atom_site_label
_atom_site_fract_x
_atom_site_fract_y
_atom_site_fract_z
As1 0.000 0.000 0.000
Pb1 0.000 0.000 0.500
Cl1 0.250 0.250 0.250
```


The following is a DFT calculation (PBE) of AsPb2Cl after structural relaxation.

Calculated values
Calculated density: 7.12 Mg/m³
E above lowest polymorph: 53.8 meV/atom
DOS(E_F): 0.13 states/eV per atom
Energy relative to the elements, uncorrected: -0.421 eV/atom
Size of the total moment: 0.00 μB/atom

Geometry as CIF:
```
data_AsPb2Cl
_chemical_formula_sum 'As4 Pb8 Cl4'
_cell_length_a 6.163
_cell_length_b 6.163
_cell_length_c 12.884
_cell_angle_alpha 90.00
_cell_angle_beta 90.00
_cell_angle_gamma 90.00
_space_group_name_H-M_alt 'P m n a'
_space_group_IT_number 53
loop_
_space_group_symop_operation_xyz
'x,y,z'
'-x,-y,-z'
'-x+1/2,-y,z+1/2'
'x+1/2,y,-z+1/2'
'x,-y,-z'
'-x,y,z'
'-x+1/2,y,-z+1/2'
'x+1/2,-y,z+1/2'
loop_
_atom_site_label
_atom_site_fract_x
_atom_site_fract_y
_atom_site_fract_z
As1 0.000 0.249 0.125
Pb1 0.000 0.249 0.348
Pb2 0.000 0.250 0.902
Cl1 0.000 0.251 0.625
```


The following is a DFT calculation (PBE) of AsPbCl2 after structural relaxation.

Calculated values
Calculated density: 6.11 Mg/m³
E above lowest polymorph: 438.5 meV/atom
DOS(E_F): 0.86 states/eV per atom
Energy relative to the elements, uncorrected: 0.003 eV/atom
Size of the total moment: 0.12 μB/atom

Geometry as CIF:
```
data_AsPbCl2
_chemical_formula_sum 'As1 Pb1 Cl2'
_cell_length_a 3.394
_cell_length_b 4.410
_cell_length_c 6.412
_cell_angle_alpha 90.00
_cell_angle_beta 90.00
_cell_angle_gamma 90.00
_space_group_name_H-M_alt 'P m m m'
_space_group_IT_number 47
loop_
_space_group_symop_operation_xyz
'x,y,z'
'-x,-y,-z'
'-x,-y,z'
'x,y,-z'
'x,-y,-z'
'-x,y,z'
'-x,y,-z'
'x,-y,z'
loop_
_atom_site_label
_atom_site_fract_x
_atom_site_fract_y
_atom_site_fract_z
As1 0.000 0.000 0.000
Pb1 0.000 0.000 0.500
Cl1 0.500 0.500 0.252
```


The following is a DFT calculation (PBE) of AsPbCl2 after structural relaxation.

Calculated values
Calculated density: 6.19 Mg/m³
E above lowest polymorph: 355.1 meV/atom
DOS(E_F): 0.65 states/eV per atom
Energy relative to the elements, uncorrected: -0.081 eV/atom
Size of the total moment: 0.00 μB/atom

Geometry as CIF:
```
data_AsPbCl2
_chemical_formula_sum 'As1 Pb1 Cl2'
_cell_length_a 4.653
_cell_length_b 4.653
_cell_length_c 4.371
_cell_angle_alpha 90.00
_cell_angle_beta 90.00
_cell_angle_gamma 90.00
_space_group_name_H-M_alt 'P 4/m m m'
_space_group_IT_number 123
_space_group_name_Hall '-P 4 2'
loop_
_atom_site_label
_atom_site_fract_x
_atom_site_fract_y
_atom_site_fract_z
As1 0.000 0.000 0.000
Pb1 0.500 0.500 0.000
Cl1 0.000 0.500 0.500
```


The following is a DFT calculation (PBE) of AsPb2Cl after structural relaxation.

Calculated values
Calculated density: 6.92 Mg/m³
E above lowest polymorph: 131.9 meV/atom
DOS(E_F): 0.29 states/eV per atom
Energy relative to the elements, uncorrected: -0.343 eV/atom
Size of the total moment: 0.00 μB/atom

Geometry as CIF:
```
data_AsPb2Cl
_chemical_formula_sum 'As2 Pb4 Cl2'
_cell_length_a 15.059
_cell_length_b 3.930
_cell_length_c 4.304
_cell_angle_alpha 90.00
_cell_angle_beta 98.64
_cell_angle_gamma 90.00
_space_group_name_H-M_alt 'C 1 m 1'
_space_group_IT_number 8
loop_
_space_group_symop_operation_xyz
'x,y,z'
'x,-y,z'
'x+1/2,y+1/2,z'
'x+1/2,-y+1/2,z'
loop_
_atom_site_label
_atom_site_fract_x
_atom_site_fract_y
_atom_site_fract_z
As1 0.000 0.000 0.000
Pb1 0.147 0.500 0.071
Pb2 0.429 0.000 0.500
Cl1 0.232 0.000 0.622
```